(1)
CaZnNiF6 | Alexandria via LeMat-Bulk | GGA+U | relaxed; final energy = -0.34426 Ry per atom; SG = P4_2nm; spin magnetization = 2.0 μB/f.u.
1.0
-0.260 -3.722 -3.216
4.870 0.256 -0.691
1.373 -6.405 7.302
F Ca Zn Ni
12 2 2 2
Direct
0.820 0.180 0.164
0.203 0.797 0.848
0.320 0.320 0.664
0.707 0.707 0.988
0.297 0.297 0.348
0.207 0.793 0.488
0.180 0.820 0.164
0.797 0.203 0.848
0.703 0.703 0.348
0.680 0.680 0.664
0.793 0.207 0.488
0.293 0.293 0.988
0.500 0.500 0.167
0.000 0.000 0.667
0.000 0.000 0.334
0.500 0.500 0.834
0.500 0.500 0.499
0.000 0.000 0.999

(2)
Ta3MoF | Alexandria via LeMat-Bulk | GGA+U | relaxed; energy relative to the lowest polymorph listed for this composition = 0 meV per atom; final energy = -0.61958 Ry per atom; SG = Pm-3m; spin magnetization = 2.1 μB/f.u.
1.0
-1.128 2.734 3.205
-4.205 -0.534 -1.025
-0.250 -3.355 2.774
Ta Mo F
3 1 1
Direct
0.500 0.000 0.000
0.000 0.500 0.000
0.000 0.000 0.500
0.500 0.500 0.500
0.000 0.000 0.000

no.,calculated density (Mg/m³)
1,3.88
2,13.17